DFT (PBE-GGA) results for a relaxed structure of CdPdSe2.

Output
- energy above the most stable polymorph in this dataset (eV/atom) = 0.000
- raw total energy (eV/atom) = -3.543
- ΔE_f (raw) (eV/atom) = -0.27
- space group = No. 122
- calculated density (g cm⁻³) = 5.9

a b c (Å): 5.9445 5.9445 7.3352
angles (deg): 66.10 66.10 90.00
Atoms (fractional coordinates):
Se (0.1591, 0.6250, 0.2500)
Pd (0.2500, 0.7500, 0.5000)
Pd (0.5000, 0.5000, 0.0000)
Se (0.3750, 0.4091, 0.7500)
Se (0.5909, 0.1250, 0.2500)
Se (0.8750, 0.8409, 0.7500)
Cd (0.0000, 0.0000, 0.0000)
Cd (0.7500, 0.2500, 0.5000)

---

DFT (PBE-GGA) results for a relaxed structure of Ti3AuN.

Output
- raw total energy (eV/atom) = -8.009
- ΔE_f (raw) (eV/atom) = -0.95
- space group = No. 12
- calculated density (g cm⁻³) = 8.2

a b c (Å): 5.2492 4.1415 7.5887
angles (deg): 105.87 92.78 113.25
Atoms (fractional coordinates):
Ti (0.5535, 0.2733, 0.8653)
N (0.2692, 0.0074, 0.6179)
Au (0.7665, 0.0007, 0.1068)
Ti (0.6147, 0.1118, 0.4810)
N (0.6459, 0.6207, 0.4675)
Au (0.1488, 0.6274, 0.9786)
Ti (0.3617, 0.3548, 0.2201)
Ti (0.0051, 0.7464, 0.3592)
Ti (0.9100, 0.8817, 0.7262)
Ti (0.3004, 0.5163, 0.6045)

---

DFT (PBE-GGA) results for a relaxed structure of MgTl12Hg6.

Output
- formation enthalpy at 0 K (eV per formula unit) = 0.4
- energy above the most stable polymorph in this dataset (eV/atom) = 0.026
- raw total energy (eV/atom) = -1.654
- space group = No. 148
- calculated density (g cm⁻³) = 10.8

a b c (Å): 8.4598 8.4598 8.4598
angles (deg): 100.87 100.87 100.87
Atoms (fractional coordinates):
Hg (0.5188, 0.7461, 0.2781)
Tl (0.8622, 0.3273, 0.9451)
Tl (0.0755, 0.3298, 0.3508)
Tl (0.3273, 0.9451, 0.8622)
Tl (0.0549, 0.1378, 0.6727)
Tl (0.6702, 0.6492, 0.9245)
Hg (0.7219, 0.4812, 0.2539)
Tl (0.3298, 0.3508, 0.0755)
Mg (0.0000, 0.0000, 0.0000)
Tl (0.3508, 0.0755, 0.3298)
Hg (0.4812, 0.2539, 0.7219)
Tl (0.1378, 0.6727, 0.0549)
Tl (0.9451, 0.8622, 0.3273)
Tl (0.6727, 0.0549, 0.1378)
Hg (0.7461, 0.2781, 0.5188)
Hg (0.2781, 0.5188, 0.7461)
Hg (0.2539, 0.7219, 0.4812)
Tl (0.9245, 0.6702, 0.6492)
Tl (0.6492, 0.9245, 0.6702)

---

DFT (PBE-GGA) results for a relaxed structure of MgW2I.

Output
- energy above the most stable polymorph in this dataset (eV/atom) = 0.258
- raw total energy (eV/atom) = -5.855
- ΔE_f (raw) (eV/atom) = 1.41
- space group = No. 225
- calculated density (g cm⁻³) = 12.1

a b c (Å): 4.6549 4.6549 4.6549
angles (deg): 60.00 60.00 60.00
Atoms (fractional coordinates):
W (0.7500, 0.7500, 0.7500)
I (0.5000, 0.5000, 0.5000)
W (0.2500, 0.2500, 0.2500)
Mg (0.0000, 0.0000, 0.0000)

---

> Number 3 is which compound?

MgTl12Hg6

---

> Number 4 is which compound?

MgW2I